(1)
# Ce4NiRu4 PBE relaxed
# Calculated volume: 380.0 Å³ per cell
# Calculated formation energy: -224 meV per atom
# M_tot: 0.00 μB/cell
data_Ce4NiRu4
_cell_length_a 8.5607
_cell_length_b 8.5607
_cell_length_c 5.1853
_cell_angle_alpha 90.00
_cell_angle_beta 90.00
_cell_angle_gamma 90.00
_space_group_name_H-M_alt 'P 42/n'
_space_group_IT_number 86
loop_
_space_group_symop_operation_xyz
'x,y,z'
'-x,-y,-z'
'-y,x+1/2,z+1/2'
'y,-x+1/2,-z+1/2'
'-x+1/2,-y+1/2,z'
'x+1/2,y+1/2,-z'
'y+1/2,-x,z+1/2'
'-y+1/2,x,-z+1/2'
loop_
_atom_site_label
_atom_site_fract_x
_atom_site_fract_y
_atom_site_fract_z
Ce1 0.0360 0.6834 0.1144
Ni1 0.2500 0.2500 0.2500
Ru1 0.0026 0.3498 0.4136

(2)
# Ce3Ni7Ru2 PBE relaxed
# Calculated volume: 544.4 Å³ per cell
# Calculated formation energy: -320 meV per atom
# M_tot: 0.00 μB/cell
data_Ce3Ni7Ru2
_cell_length_a 4.9669
_cell_length_b 4.9669
_cell_length_c 25.4832
_cell_angle_alpha 90.00
_cell_angle_beta 90.00
_cell_angle_gamma 120.00
_space_group_name_H-M_alt 'R -3 m'
_space_group_IT_number 166
_space_group_name_Hall '-R 3 2"'
loop_
_atom_site_label
_atom_site_fract_x
_atom_site_fract_y
_atom_site_fract_z
Ce1 0.0000 0.0000 0.0000
Ce2 0.0000 0.0000 0.1386
Ni1 0.0000 0.0000 0.5000
Ni2 0.9997 0.4999 0.0849
Ru1 0.0000 0.0000 0.3317

(3)
# CeNi4Ru PBE relaxed
# Calculated volume: 331.1 Å³ per cell
# Calculated formation energy: -141 meV per atom
# M_tot: 6.52 μB/cell
data_CeNi4Ru
_cell_length_a 6.9179
_cell_length_b 6.9179
_cell_length_c 6.9179
_cell_angle_alpha 90.00
_cell_angle_beta 90.00
_cell_angle_gamma 90.00
_space_group_name_H-M_alt 'F -4 3 m'
_space_group_IT_number 216
_space_group_name_Hall 'F -4 2 3'
loop_
_atom_site_label
_atom_site_fract_x
_atom_site_fract_y
_atom_site_fract_z
Ce1 0.0000 0.0000 0.0000
Ni1 0.1235 0.1235 0.6235
Ru1 0.2500 0.2500 0.2500